# Sm3Dy12Y

An optimized crystal structure of Sm3Dy12Y (PBE, Alexandria via LeMat-Bulk).

```
data_Sm3Dy12Y
_chemical_formula_sum 'Sm3 Dy12 Y1'
_space_group_name_H-M_alt 'P 4/m m m'
_space_group_IT_number 123
_space_group_name_Hall '-P 4 2'
_cell_length_a 5.036
_cell_length_b 5.036
_cell_length_c 20.134
_cell_angle_alpha 90.00
_cell_angle_beta 90.00
_cell_angle_gamma 90.00
loop_
_atom_site_label
_atom_site_type_symbol
_atom_site_fract_x
_atom_site_fract_y
_atom_site_fract_z
Sm1 Sm 0.000 0.000 0.000
Sm2 Sm 0.000 0.000 0.250
Dy1 Dy 0.000 0.500 0.125
Dy2 Dy 0.000 0.500 0.375
Dy3 Dy 0.500 0.500 0.000
Dy4 Dy 0.500 0.500 0.251
Dy5 Dy 0.500 0.500 0.500
Y1 Y 0.000 0.000 0.500
```

Calculated values
ΔE_f	0.019	eV/atom
energy	-0.1735	hartree per atom
crystal system	tetragonal